No. 1
Below is a geometry-optimized BaAl2Si structure, with properties calculated at the GGA-PBE level.

Output
* uncorrected formation energy: -9.6 kJ/mol of atoms
* mass density: 3.51 g/cm³
* spin magnetization: 0.00 μB/f.u.
* E: -3.81 eV/atom

Cell: 4.5042 4.5042 6.6479 Å, 108.01 108.01 55.14°
Fractional positions:
Ba  0.0000  0.0000  0.0000
Al  0.2086  0.2086  0.6233
Al  0.7914  0.7914  0.3767
Si  0.5000  0.5000  0.5000

No. 2
Below is a geometry-optimized SrZn2GaNi structure, with properties calculated at the GGA-PBE level.

Output
* mass density: 5.87 g/cm³
* formation energy: -248 meV/atom
* spin magnetization: 0.00 μB/f.u.
* E: -2.86 eV/atom

Cell: 5.9922 5.9922 5.9922 Å, 137.58 136.86 62.10°
Fractional positions:
Sr  0.0000  0.0000  0.0000
Zn  0.6306  0.6306  0.0000
Zn  0.7502  0.2502  0.5000
Ga  0.3675  0.3675  0.0000
Ni  0.2536  0.7536  0.5000

No. 3
Below is a geometry-optimized Rb2CoNi2 structure, with properties calculated at the GGA-PBE level.

Output
* mass density: 4.32 g/cm³
* formation energy: 1569 meV/atom
* spin magnetization: 3.15 μB/f.u.
* E: -2.55 eV/atom

Cell: 9.6638 9.6638 2.8601 Å, 90.00 90.00 90.00°
Fractional positions:
Rb  0.1355  0.3645  0.0000
Rb  0.3645  0.8645  0.0000
Rb  0.6355  0.1355  0.0000
Rb  0.8645  0.6355  0.0000
Co  0.0000  0.0000  0.0000
Co  0.5000  0.5000  0.0000
Ni  0.1686  0.6686  0.5000
Ni  0.3314  0.1686  0.5000
Ni  0.6686  0.8314  0.5000
Ni  0.8314  0.3314  0.5000

No. 4
Below is a geometry-optimized LiAcLa2 structure, with properties calculated at the GGA-PBE level.

Output
* mass density: 6.10 g/cm³
* formation energy: 57 meV/atom
* spin magnetization: 0.00 μB/f.u.
* E: -3.91 eV/atom

Cell: 3.8485 3.8485 9.4128 Å, 90.00 90.00 90.00°
Fractional positions:
Li  0.0000  0.0000  0.0000
Ac  0.0000  0.0000  0.5000
La  0.5000  0.5000  0.2198
La  0.5000  0.5000  0.7802

No. 5
Below is a geometry-optimized RbBaNaTl structure, with properties calculated at the GGA-PBE level.

Output
* mass density: 4.16 g/cm³
* formation energy: -23 meV/atom
* spin magnetization: 0.00 μB/f.u.
* E: -1.67 eV/atom

Cell: 6.3350 6.3350 6.3350 Å, 60.00 60.00 60.00°
Fractional positions:
Rb  0.0000  0.0000  0.0000
Ba  0.5000  0.5000  0.5000
Na  0.2500  0.2500  0.2500
Tl  0.7500  0.7500  0.7500

No. 6
Below is a geometry-optimized Ba3GeCl3 structure, with properties calculated at the GGA-PBE level.

Output
* uncorrected formation energy: -156.3 kJ/mol of atoms
* mass density: 3.44 g/cm³
* spin magnetization: 0.00 μB/f.u.
* E: -3.89 eV/atom

Cell: 8.8760 8.8760 8.4356 Å, 95.66 95.66 118.97°
Fractional positions:
Ba  0.1353  0.4472  0.7752
Ba  0.1773  0.1773  0.2984
Ba  0.4472  0.1353  0.7752
Ba  0.5528  0.8647  0.2248
Ba  0.8227  0.8227  0.7016
Ba  0.8647  0.5528  0.2248
Ge  0.4578  0.4578  0.6333
Ge  0.5422  0.5422  0.3667
Cl  0.1416  0.8584  0.5000
Cl  0.1627  0.1627  0.9209
Cl  0.2156  0.7844  0.0000
Cl  0.7844  0.2156  0.0000
Cl  0.8373  0.8373  0.0791
Cl  0.8584  0.1416  0.5000

No. 7
Below is a geometry-optimized AcEu2As structure, with properties calculated at the GGA-PBE level.

Output
* mass density: 6.18 g/cm³
* formation energy: -450 meV/atom
* spin magnetization: 14.19 μB/f.u.
* E: -7.78 eV/atom

Cell: 11.3753 11.3753 11.3753 Å, 20.82 20.82 20.82°
Fractional positions:
Ac  0.0000  0.0000  0.0000
Eu  0.1144  0.1144  0.1144
Eu  0.8856  0.8856  0.8856
As  0.5000  0.5000  0.5000

No. 8
Below is a geometry-optimized MgCo2Te structure, with properties calculated at the GGA-PBE level.

Output
* uncorrected formation energy: 18.2 kJ/mol of atoms
* mass density: 7.29 g/cm³
* spin magnetization: 1.70 μB/f.u.
* E: -4.55 eV/atom

Cell: 3.2066 3.2066 5.9781 Å, 90.00 90.00 90.00°
Fractional positions:
Mg  0.0000  0.0000  0.0000
Co  0.5000  0.5000  0.2601
Co  0.5000  0.5000  0.7399
Te  0.0000  0.0000  0.5000

No. 9
Below is a geometry-optimized LaTa2Pt structure, with properties calculated at the GGA-PBE level.

Output
* mass density: 13.56 g/cm³
* formation energy: -163 meV/atom
* spin magnetization: 0.00 μB/f.u.
* E: -8.83 eV/atom

Cell: 3.2250 3.2250 8.1959 Å, 90.00 90.00 90.00°
Fractional positions:
La  0.0000  0.0000  0.0000
Ta  0.0000  0.0000  0.4754
Ta  0.5000  0.5000  0.6980
Pt  0.5000  0.5000  0.2951

No. 10
Below is a geometry-optimized Ac2SmErTe6 structure, with properties calculated at the GGA-PBE level.

Output
* uncorrected formation energy: -139.1 kJ/mol of atoms
* mass density: 6.32 g/cm³
* spin magnetization: 0.00 μB/f.u.
* E: -5.08 eV/atom

Cell: 8.4887 8.4887 8.4887 Å, 57.14 57.14 57.14°
Fractional positions:
Ac  0.0000  0.0000  0.0000
Ac  0.4994  0.4994  0.4994
Sm  0.2985  0.2985  0.2985
Er  0.7994  0.7994  0.7994
Te  0.0670  0.4330  0.6729
Te  0.1672  0.9262  0.5743
Te  0.4330  0.6729  0.0670
Te  0.5743  0.1672  0.9262
Te  0.6729  0.0670  0.4330
Te  0.9262  0.5743  0.1672

No. 11
Below is a geometry-optimized PmCdSbPb structure, with properties calculated at the GGA-PBE level.

Output
* uncorrected formation energy: -27.5 kJ/mol of atoms
* mass density: 8.52 g/cm³
* spin magnetization: 0.00 μB/f.u.
* E: -3.66 eV/atom

Cell: 5.4479 5.4479 5.4479 Å, 60.00 60.00 60.00°
Fractional positions:
Pm  0.0000  0.0000  0.0000
Cd  0.7500  0.7500  0.7500
Sb  0.2500  0.2500  0.2500
Pb  0.5000  0.5000  0.5000

No. 12
Below is a geometry-optimized KSbIr2 structure, with properties calculated at the GGA-PBE level.

Output
* uncorrected formation energy: 84.5 kJ/mol of atoms
* mass density: 11.68 g/cm³
* spin magnetization: 0.00 μB/f.u.
* E: -4.86 eV/atom

Cell: 4.7867 4.7867 4.7867 Å, 60.00 60.00 60.00°
Fractional positions:
K  0.0000  0.0000  0.0000
Sb  0.7500  0.7500  0.7500
Ir  0.2500  0.2500  0.2500
Ir  0.5000  0.5000  0.5000

No. 13
Below is a geometry-optimized Mg6Pd12Pt structure, with properties calculated at the GGA-PBE level.

Output
* mass density: 8.38 g/cm³
* formation energy: -453 meV/atom
* spin magnetization: 0.00 μB/f.u.
* E: -4.55 eV/atom

Cell: 7.2855 7.2855 7.2855 Å, 107.18 107.18 107.18°
Fractional positions:
Mg  0.0581  0.2963  0.4044
Mg  0.2963  0.4044  0.0581
Mg  0.4044  0.0581  0.2963
Mg  0.5956  0.9419  0.7037
Mg  0.7037  0.5956  0.9419
Mg  0.9419  0.7037  0.5956
Pd  0.0044  0.8963  0.3128
Pd  0.1037  0.6872  0.9956
Pd  0.2215  0.6706  0.3839
Pd  0.3128  0.0044  0.8963
Pd  0.3294  0.6161  0.7785
Pd  0.3839  0.2215  0.6706
Pd  0.6161  0.7785  0.3294
Pd  0.6706  0.3839  0.2215
Pd  0.6872  0.9956  0.1037
Pd  0.7785  0.3294  0.6161
Pd  0.8963  0.3128  0.0044
Pd  0.9956  0.1037  0.6872
Pt  0.5000  0.5000  0.5000

No. 14
Below is a geometry-optimized Tb2Ni5Ge4 structure, with properties calculated at the GGA-PBE level.

Output
* mass density: 8.45 g/cm³
* formation energy: -545 meV/atom
* spin magnetization: 0.00 μB/f.u.
* E: -5.69 eV/atom

Cell: 8.4269 7.4933 5.4205 Å, 79.70 61.03 39.26°
Fractional positions:
Tb  0.1383  0.1383  0.8617
Tb  0.8617  0.8617  0.1383
Ni  0.0000  0.0000  0.5000
Ni  0.2500  0.2500  0.2500
Ni  0.5000  0.5000  0.0000
Ni  0.5000  0.5000  0.5000
Ni  0.7500  0.7500  0.7500
Ge  0.2163  0.5223  0.4777
Ge  0.4777  0.7837  0.2163
Ge  0.5223  0.2163  0.7837
Ge  0.7837  0.4777  0.5223

No. 15
Below is a geometry-optimized Ti2CoReH structure, with properties calculated at the GGA-PBE level.

Output
* mass density: 9.65 g/cm³
* spin magnetization: 0.00 μB/f.u.
* E: -8.14 eV/atom

Cell: 4.2590 4.2590 3.2423 Å, 90.00 90.00 90.00°
Fractional positions:
Ti  0.0000  0.5000  0.0000
Ti  0.5000  0.0000  0.0000
Co  0.0000  0.0000  0.5000
Re  0.5000  0.5000  0.5000
H  0.0000  0.0000  0.0000

No. 16
Below is a geometry-optimized Pm6Dy3Ho2 structure, with properties calculated at the GGA-PBE level.

Output
* mass density: 7.76 g/cm³
* formation energy: 14 meV/atom
* spin magnetization: 0.00 μB/f.u.
* E: -4.67 eV/atom

Cell: 32.2412 32.2412 32.2412 Å, 6.40 6.40 6.40°
Fractional positions:
Pm  0.0907  0.0907  0.0907
Pm  0.1823  0.1823  0.1823
Pm  0.3636  0.3636  0.3636
Pm  0.6364  0.6364  0.6364
Pm  0.8177  0.8177  0.8177
Pm  0.9093  0.9093  0.9093
Dy  0.0000  0.0000  0.0000
Dy  0.2729  0.2729  0.2729
Dy  0.7271  0.7271  0.7271
Ho  0.4542  0.4542  0.4542
Ho  0.5458  0.5458  0.5458

No. 17
Below is a geometry-optimized LaScAl2Au4 structure, with properties calculated at the GGA-PBE level.

Output
* mass density: 10.47 g/cm³
* formation energy: -701 meV/atom
* spin magnetization: 0.00 μB/f.u.
* E: -4.68 eV/atom

Cell: 9.2487 9.2487 9.2487 Å, 28.83 28.83 28.83°
Fractional positions:
La  0.0000  0.0000  0.0000
Sc  0.5000  0.5000  0.5000
Al  0.2384  0.2384  0.2384
Al  0.7616  0.7616  0.7616
Au  0.1273  0.1273  0.1273
Au  0.3958  0.3958  0.3958
Au  0.6042  0.6042  0.6042
Au  0.8727  0.8727  0.8727

No. 18
Below is a geometry-optimized CdH2Pd3 structure, with properties calculated at the GGA-PBE level.

Output
* mass density: 10.00 g/cm³
* spin magnetization: 0.00 μB/f.u.
* E: -4.05 eV/atom

Cell: 3.4471 3.4471 6.0599 Å, 90.00 90.00 90.00°
Fractional positions:
Cd  0.0000  0.0000  0.0000
H  0.0000  0.5000  0.6152
H  0.5000  0.0000  0.3848
Pd  0.0000  0.0000  0.5000
Pd  0.5000  0.5000  0.2467
Pd  0.5000  0.5000  0.7533

No. 19
Below is a geometry-optimized VGaSn2Ir structure, with properties calculated at the GGA-PBE level.

Output
* mass density: 7.61 g/cm³
* formation energy: 585 meV/atom
* spin magnetization: 0.00 μB/f.u.
* E: -5.22 eV/atom

Cell: 5.1229 5.1229 4.5750 Å, 90.00 90.00 90.00°
Fractional positions:
V  0.0000  0.0000  0.0000
Ga  0.5000  0.5000  0.5000
Sn  0.0000  0.5000  0.0000
Sn  0.5000  0.0000  0.0000
Ir  0.0000  0.0000  0.5000

No. 20
Below is a geometry-optimized CaTl2Cd9 structure, with properties calculated at the GGA-PBE level.

Output
* mass density: 7.97 g/cm³
* formation energy: -71 meV/atom
* spin magnetization: 0.00 μB/f.u.
* E: -1.32 eV/atom

Cell: 10.3487 10.3487 10.3487 Å, 33.72 33.72 33.72°
Fractional positions:
Ca  0.0000  0.0000  0.0000
Tl  0.1416  0.1416  0.1416
Tl  0.8584  0.8584  0.8584
Cd  0.0799  0.5863  0.5863
Cd  0.3337  0.3337  0.3337
Cd  0.4137  0.4137  0.9201
Cd  0.4137  0.9201  0.4137
Cd  0.5000  0.5000  0.5000
Cd  0.5863  0.0799  0.5863
Cd  0.5863  0.5863  0.0799
Cd  0.6663  0.6663  0.6663
Cd  0.9201  0.4137  0.4137